Below is crystalline AlTlCd2P at its relaxed geometry, with properties calculated at the PBE level.

Summary:
DFT total energy	-11.72	eV per cell

a = 5.183 Å, b = 5.183 Å, c = 4.930 Å
α = 90.00°, β = 90.00°, γ = 90.00°
Atoms (fractional coordinates):
Al (0.000, 0.000, 0.000)
Tl (0.500, 0.500, 0.000)
Cd (0.000, 0.500, 0.500)
Cd (0.500, 0.000, 0.500)
P (0.000, 0.000, 0.500)